Record 1
{
  "formula": "Gd2RhI",
  "functional": "PBE",
  "state": "optimized geometry",
  "cell": [[3.5485, 0.0000, 0.0000], [0.0000, 3.5485, 0.0000], [0.0000, 0.0000, 8.2683]],
  "species": ["Gd", "Gd", "Rh", "I"],
  "fractional_positions": [[0.0000, 0.0000, 0.2020], [0.0000, 0.0000, 0.7980], [0.5000, 0.5000, 0.0000], [0.5000, 0.5000, 0.5000]],
  "raw_formation_energy_mev_per_atom": -736.4,
  "final_energy_ev_per_atom": -10.00,
  "sg": "No. 123",
  "n_ef_per_ev_fu": 4.7,
  "de_polymorph_mev_per_atom": 221
}

---

Record 2
{
  "formula": "Gd2RhI",
  "functional": "PBE",
  "state": "optimized geometry",
  "cell": [[2.0472, 1.1820, 7.9841], [-2.0472, 1.1820, 7.9841], [0.0000, -2.3639, 7.9841]],
  "species": ["Gd", "Gd", "Rh", "I"],
  "fractional_positions": [[0.2282, 0.2282, 0.2282], [0.7718, 0.7718, 0.7718], [0.5000, 0.5000, 0.5000], [0.0000, 0.0000, 0.0000]],
  "raw_formation_energy_mev_per_atom": -957.7,
  "final_energy_ev_per_atom": -10.22,
  "sg": "No. 166",
  "n_ef_per_ev_fu": 0.9,
  "de_polymorph_mev_per_atom": 0
}

---

Record 3
{
  "formula": "GdRhI2",
  "functional": "PBE",
  "state": "optimized geometry",
  "cell": [[2.0035, 1.1567, 9.1511], [-2.0035, 1.1567, 9.1511], [0.0000, -2.3135, 9.1511]],
  "species": ["Gd", "Rh", "I", "I"],
  "fractional_positions": [[0.0000, 0.0000, 0.0000], [0.5000, 0.5000, 0.5000], [0.1110, 0.1110, 0.1110], [0.8890, 0.8890, 0.8890]],
  "raw_formation_energy_mev_per_atom": 5.2,
  "final_energy_ev_per_atom": -6.13,
  "sg": "No. 166",
  "n_ef_per_ev_fu": 7.4
}

---

Record 4
{
  "formula": "Gd2RuI",
  "functional": "PBE",
  "state": "optimized geometry",
  "cell": [[2.0401, 1.1779, 7.9777], [-2.0401, 1.1779, 7.9777], [0.0000, -2.3557, 7.9777]],
  "species": ["Gd", "Gd", "Ru", "I"],
  "fractional_positions": [[0.2281, 0.2281, 0.2281], [0.7719, 0.7719, 0.7719], [0.5000, 0.5000, 0.5000], [0.0000, 0.0000, 0.0000]],
  "raw_formation_energy_mev_per_atom": -649.8,
  "final_energy_ev_per_atom": -10.40,
  "sg": "No. 166",
  "n_ef_per_ev_fu": 1.9,
  "de_polymorph_mev_per_atom": 0
}

---

Record 5
{
  "formula": "Gd2RuI",
  "functional": "PBE",
  "state": "optimized geometry",
  "cell": [[3.5274, 0.0000, 0.0000], [0.0000, 3.5274, 0.0000], [0.0000, 0.0000, 8.3229]],
  "species": ["Gd", "Gd", "Ru", "I"],
  "fractional_positions": [[0.0000, 0.0000, 0.1986], [0.0000, 0.0000, 0.8014], [0.5000, 0.5000, 0.0000], [0.5000, 0.5000, 0.5000]],
  "raw_formation_energy_mev_per_atom": -575.1,
  "final_energy_ev_per_atom": -10.32,
  "sg": "No. 123",
  "n_ef_per_ev_fu": 2.6,
  "de_polymorph_mev_per_atom": 75
}

---

Record 6
{
  "formula": "GdSI",
  "functional": "PBE",
  "state": "optimized geometry",
  "cell": [[4.2579, 0.0000, 0.0000], [0.0000, 5.3874, 0.0000], [0.0000, 0.0000, 10.2055]],
  "species": ["Gd", "Gd", "S", "S", "I", "I"],
  "fractional_positions": [[0.2500, 0.2500, 0.1152], [0.7500, 0.7500, 0.8848], [0.2500, 0.7500, 0.0589], [0.7500, 0.2500, 0.9411], [0.2500, 0.7500, 0.6659], [0.7500, 0.2500, 0.3341]],
  "raw_formation_energy_mev_per_atom": -1816.6,
  "final_energy_ev_per_atom": -8.40,
  "sg": "No. 59",
  "n_ef_per_ev_fu": 0.0,
  "de_polymorph_mev_per_atom": 0
}

---

Record 7
{
  "formula": "GdSI",
  "functional": "PBE",
  "state": "optimized geometry",
  "cell": [[-1.8361, 1.8361, 6.7359], [1.8361, -1.8361, 6.7359], [1.8361, 1.8361, -6.7359]],
  "species": ["Gd", "S", "I"],
  "fractional_positions": [[0.0000, 0.0000, 0.0000], [0.5848, 0.5848, 0.0000], [0.3347, 0.3347, 0.0000]],
  "raw_formation_energy_mev_per_atom": -1467.5,
  "final_energy_ev_per_atom": -8.05,
  "sg": "No. 107",
  "n_ef_per_ev_fu": 0.2,
  "de_polymorph_mev_per_atom": 349
}

---

Record 8
{
  "formula": "GdSI",
  "functional": "PBE",
  "state": "optimized geometry",
  "cell": [[9.3917, 0.0000, 0.0000], [-4.6958, 8.1334, 0.0000], [0.0000, 0.0000, 4.4286]],
  "species": ["Gd", "Gd", "Gd", "S", "S", "S", "I", "I", "I"],
  "fractional_positions": [[0.0037, 0.5019, 0.0000], [0.4981, 0.5019, 0.0000], [0.4981, 0.9963, 0.0000], [0.3922, 0.1961, 0.0000], [0.8039, 0.1961, 0.0000], [0.8039, 0.6078, 0.0000], [0.1891, 0.3781, 0.5000], [0.1891, 0.8109, 0.5000], [0.6219, 0.8109, 0.5000]],
  "raw_formation_energy_mev_per_atom": -1311.5,
  "final_energy_ev_per_atom": -7.90,
  "sg": "No. 187",
  "de_polymorph_mev_per_atom": 505
}